Entry 1:
# KNpAu2I8

A relaxed KNpAu2I8 crystal (PBE-GGA, the Alexandria database).

E in eV/f.u.: -39.82
SG: No. 2

a = 7.310 Å, b = 9.408 Å, c = 10.333 Å
α = 73.28°, β = 89.26°, γ = 121.32°
Last column: magnetic moment on the atom in μB.
Positions (direct):
1 I 0.566 0.268 0.444  -0.06
2 I 0.865 0.160 0.758  -0.10
3 I 0.434 0.732 0.556  -0.06
4 I 0.530 0.702 0.069  -0.10
5 I 0.470 0.298 0.931  -0.10
6 I 0.108 0.830 0.842  -0.11
7 I 0.135 0.840 0.242  -0.10
8 I 0.892 0.170 0.158  -0.11
9 K 0.000 0.000 0.500  0.00
10 Au 0.708 0.580 0.257  -0.08
11 Au 0.292 0.420 0.743  -0.08
12 Np 0.000 0.000 0.000  3.10


Entry 2:
# K8Au2IO

A relaxed K8Au2IO crystal (PBE-GGA, the Alexandria database).

E in eV/f.u.: -28.72
SG: No. 2

a = 7.903 Å, b = 7.701 Å, c = 9.012 Å
α = 89.94°, β = 90.03°, γ = 85.82°
Positions (direct):
1 K 0.349 0.302 0.500
2 K 0.740 0.793 0.000
3 K 0.165 0.789 0.806
4 K 0.835 0.211 0.194
5 K 0.651 0.698 0.500
6 K 0.260 0.207 0.000
7 K 0.835 0.211 0.806
8 K 0.165 0.789 0.194
9 Au 0.500 0.500 0.162
10 Au 0.500 0.500 0.838
11 O 0.000 0.000 0.000
12 I 0.000 0.000 0.500


Entry 3:
# KAuIO2

A relaxed KAuIO2 crystal (PBE-GGA, the Alexandria database).

E in eV/f.u.: -12.47
SG: No. 123
Offset from the most stable computed form in meV/atom: 685

a = 4.543 Å, b = 4.543 Å, c = 7.578 Å
α = 90.00°, β = 90.00°, γ = 90.00°
Last column: magnetic moment on the atom in μB.
Positions (direct):
1 O 0.500 0.000 0.000  1.14
2 O 0.000 0.500 0.000  1.14
3 K 0.000 0.000 0.000  0.09
4 Au 0.500 0.500 0.500  0.01
5 I 0.000 0.000 0.500  0.00


The energy relative to the elements, uncorrected results, record by record, are as follows: -13.13, -13.22, 15.55 kcal/mol of atoms.